No. 1
A plane-wave DFT calculation with PBE-GGA was carried out for a geometry-optimized MgTl16Pb12 structure.

Lattice parameters (Å, degrees): 10.615 10.615 10.582 109.45 109.45 109.59
Positions (direct):
Mg  0.000  0.000  0.000
Tl  0.005  0.412  0.594
Tl  0.045  0.045  0.632
Tl  0.098  0.378  0.279
Tl  0.100  0.691  0.972
Tl  0.283  0.970  0.876
Tl  0.289  0.289  0.565
Tl  0.343  0.691  0.284
Tl  0.378  0.098  0.279
Tl  0.378  0.690  0.689
Tl  0.412  0.005  0.594
Tl  0.690  0.378  0.689
Tl  0.691  0.100  0.972
Tl  0.691  0.343  0.284
Tl  0.691  0.691  0.281
Tl  0.697  0.697  0.931
Tl  0.970  0.283  0.876
Pb  0.066  0.694  0.474
Pb  0.068  0.885  0.279
Pb  0.304  0.304  0.094
Pb  0.315  0.505  0.910
Pb  0.502  0.875  0.091
Pb  0.504  0.504  0.466
Pb  0.505  0.315  0.910
Pb  0.694  0.066  0.474
Pb  0.699  0.888  0.669
Pb  0.875  0.502  0.091
Pb  0.885  0.068  0.279
Pb  0.888  0.699  0.669

Energy, eV per cell: -83.8
Symmetry: Cm (8)

=====

No. 2
A plane-wave DFT calculation with PBE-GGA was carried out for a geometry-optimized Mg12Tl2Pb structure.

Lattice parameters (Å, degrees): 6.030 6.030 21.801 90.00 90.00 90.00
Positions (direct):
Mg  0.007  0.507  0.102
Mg  0.007  0.993  0.898
Mg  0.078  0.578  0.562
Mg  0.078  0.922  0.438
Mg  0.250  0.250  0.204
Mg  0.250  0.250  0.338
Mg  0.250  0.250  0.662
Mg  0.250  0.250  0.796
Mg  0.422  0.578  0.438
Mg  0.422  0.922  0.562
Mg  0.493  0.507  0.898
Mg  0.493  0.993  0.102
Mg  0.507  0.007  0.898
Mg  0.507  0.493  0.102
Mg  0.578  0.078  0.438
Mg  0.578  0.422  0.562
Mg  0.750  0.750  0.204
Mg  0.750  0.750  0.338
Mg  0.750  0.750  0.662
Mg  0.750  0.750  0.796
Mg  0.922  0.078  0.562
Mg  0.922  0.422  0.438
Mg  0.993  0.007  0.102
Mg  0.993  0.493  0.898
Tl  0.250  0.750  0.269
Tl  0.250  0.750  0.731
Tl  0.750  0.250  0.269
Tl  0.750  0.250  0.731
Pb  0.250  0.750  0.000
Pb  0.750  0.250  0.000

Energy, eV per cell: -51.3
Symmetry: P4/nbm (125)

=====

No. 3
A plane-wave DFT calculation with PBE-GGA was carried out for a geometry-optimized Mg4Tl4Pb3 structure.

Lattice parameters (Å, degrees): 3.523 9.220 10.390 66.23 80.50 89.40
Positions (direct):
Mg  0.008  0.306  0.480
Mg  0.244  0.793  0.019
Mg  0.756  0.207  0.981
Mg  0.992  0.694  0.520
Tl  0.139  0.972  0.224
Tl  0.181  0.369  0.153
Tl  0.819  0.631  0.847
Tl  0.861  0.028  0.776
Pb  0.390  0.392  0.709
Pb  0.500  0.000  0.500
Pb  0.610  0.608  0.291

E above lowest polymorph, eV/atom: 0.0000
Symmetry: P-1 (2)

=====

No. 4
A plane-wave DFT calculation with PBE-GGA was carried out for a geometry-optimized Mg4Tl2Pb5 structure.

Lattice parameters (Å, degrees): 8.640 3.462 10.292 90.00 96.55 90.00
Positions (direct):
Mg  0.131  0.000  0.128
Mg  0.246  0.000  0.641
Mg  0.754  0.000  0.359
Mg  0.869  0.000  0.872
Tl  0.186  0.500  0.884
Tl  0.814  0.500  0.116
Pb  0.119  0.500  0.383
Pb  0.445  0.500  0.170
Pb  0.500  0.500  0.500
Pb  0.555  0.500  0.830
Pb  0.881  0.500  0.617

E above lowest polymorph, eV/atom: 0.0000
Symmetry: P2/m (10)